1.
10
Lattice="6.286 -2.725 0.000 6.286 2.725 0.000 -4.590 0.000 8.814" Properties=species:S:1:pos:R:3 comment="Nd3SnPt PBE relaxed" delta_e_f_kj_per_mol_atoms=-68.2 final_energy_ev_per_cell=-55.764 crystal_system=monoclinic pbc="T T T"
Nd -0.413 0.000 3.759
Nd 0.762 0.000 7.324
Nd 3.619 0.000 1.889
Nd 4.362 0.000 6.924
Nd 7.220 0.000 1.490
Nd 8.394 0.000 5.055
Sn -3.152 0.000 8.233
Sn 11.133 0.000 0.580
Pt 2.443 0.000 4.644
Pt 5.538 0.000 4.170

***

2.
4
Lattice="2.977 0.000 0.000 0.000 5.067 0.000 0.000 0.000 5.487" Properties=species:S:1:pos:R:3 comment="Cd2RePb PBE relaxed" delta_e_f_kj_per_mol_atoms=66.5 final_energy_ev_per_cell=-15.230 crystal_system=orthorhombic pbc="T T T"
Cd 0.000 0.000 0.000
Cd 0.000 2.534 1.626
Re 1.489 0.000 2.649
Pb 1.489 2.534 4.237

***

3.
16
Lattice="-3.852 3.852 6.709 3.852 -3.852 6.709 3.852 3.852 -6.709" Properties=species:S:1:pos:R:3 comment="Er5InRh2 PBE relaxed" delta_e_f_kj_per_mol_atoms=-62.6 final_energy_ev_per_cell=-90.900 crystal_system=tetragonal pbc="T T T"
Er 0.000 0.000 0.000
Er 5.076 1.224 -1.809
Er 1.224 2.628 -1.809
Er 5.076 1.224 1.809
Er 1.224 2.628 1.809
Er 0.000 0.000 6.709
Er 2.628 1.224 4.900
Er -1.224 2.628 4.900
Er 2.628 1.224 8.518
Er -1.224 2.628 8.518
In 0.000 0.000 3.355
In 0.000 0.000 10.064
Rh 2.776 1.077 0.000
Rh 2.776 -1.077 6.709
Rh 1.077 4.929 0.000
Rh 1.077 2.776 6.709

***

4.
4
Lattice="2.811 0.000 0.000 0.000 4.301 0.000 0.000 0.000 4.452" Properties=species:S:1:pos:R:3 comment="Co2RhCl PBE relaxed" final_energy_ev_per_cell=-20.954 formation_energy_uncorrected_mev_per_atom=614 crystal_system=orthorhombic pbc="T T T"
Co 0.000 0.000 0.000
Co 1.405 2.150 0.000
Rh 0.000 2.150 2.226
Cl 1.405 0.000 2.226

***

5.
8
Lattice="0.000 6.654 7.168 4.626 0.000 7.168 4.626 6.654 0.000" Properties=species:S:1:pos:R:3 comment="GaI PBE relaxed" final_energy_ev_per_cell=-20.196 formation_energy_uncorrected_mev_per_atom=-236 crystal_system=orthorhombic pbc="T T T"
Ga 1.157 0.190 1.792
Ga 1.157 3.137 1.792
Ga 8.096 10.171 12.545
Ga 8.096 13.118 12.545
I 3.470 4.990 1.291
I 5.783 8.317 4.875
I 3.470 4.990 9.462
I 5.783 8.317 13.046

***

6.
12
Lattice="7.275 0.000 0.000 0.000 3.662 0.000 -1.504 0.000 8.350" Properties=species:S:1:pos:R:3 comment="SrCeRhN3 PBE relaxed" final_energy_ev_per_cell=-87.300 formation_energy_uncorrected_mev_per_atom=-618 crystal_system=monoclinic pbc="T T T"
Sr 0.975 0.915 1.365
Sr 4.796 2.746 6.985
Ce 1.285 2.746 7.059
Ce 4.486 0.915 1.291
Rh -0.547 0.915 5.103
Rh 6.318 2.746 3.247
N -0.338 0.915 7.140
N 0.265 2.746 4.866
N 2.924 2.746 0.999
N 2.847 0.915 7.351
N 5.506 0.915 3.484
N 6.109 2.746 1.210

***

7.
5
Lattice="5.713 0.000 0.000 0.000 5.713 0.000 0.000 0.000 5.713" Properties=species:S:1:pos:R:3 comment="Al3TeF PBE relaxed" final_energy_ev_per_cell=-13.225 formation_energy_uncorrected_mev_per_atom=603 crystal_system=cubic pbc="T T T"
Al 0.000 0.000 2.857
Al 0.000 2.857 0.000
Al 2.857 0.000 0.000
Te 0.000 0.000 0.000
F 2.857 2.857 2.857

***

8.
5
Lattice="5.228 0.000 0.000 0.000 5.228 0.000 0.000 0.000 5.125" Properties=species:S:1:pos:R:3 comment="Sn2TeRuCl PBE relaxed" final_energy_ev_per_cell=-22.481 formation_energy_uncorrected_mev_per_atom=-42 crystal_system=tetragonal pbc="T T T"
Sn 0.000 2.614 0.000
Sn 2.614 0.000 0.000
Te 0.000 0.000 2.563
Ru 0.000 0.000 0.000
Cl 2.614 2.614 2.563

***

9.
6
Lattice="-2.583 2.583 5.667 2.583 -2.583 5.667 2.583 2.583 -5.667" Properties=species:S:1:pos:R:3 comment="NdMg2GaAg2 PBE relaxed" delta_e_f_kj_per_mol_atoms=1.6 final_energy_ev_per_cell=-16.589 crystal_system=tetragonal pbc="T T T"
Nd 0.000 0.000 0.000
Mg 2.583 0.000 2.834
Mg 0.000 2.583 2.834
Ga 0.000 0.000 5.667
Ag 0.000 0.000 3.197
Ag 0.000 0.000 8.138

***

10.
4
Lattice="-1.603 1.890 6.131 1.603 -1.890 6.131 1.603 1.890 -6.131" Properties=species:S:1:pos:R:3 comment="CoSb2Mo PBE relaxed" final_energy_ev_per_cell=-25.177 formation_energy_uncorrected_mev_per_atom=251 crystal_system=orthorhombic pbc="T T T"
Co 0.000 0.000 0.000
Sb 0.000 0.000 6.753
Sb 0.000 1.890 3.931
Mo 1.603 0.000 2.573